This record from Alexandria via LeMat-Bulk describes an optimized crystal structure of Tl2ReBr2Cl4. The functional is PBE.

The space group is C2/m (No. 12) and the conventional cell measures 12.698, 7.161 and 7.250 Å, with angles of 90.00, 124.02 and 90.00 degrees. The asymmetric unit holds Tl at (0.248, 0.000, 0.224), Re at (0.000, 0.500, 0.000), Br at (0.239, 0.500, 0.287) and Cl at (0.025, 0.266, 0.796).

The crystal system is monoclinic. The formation energy from raw total energies is -0.759 eV per atom. For the total moment, the calculation gives 3.00 μB/f.u.


This record from Alexandria via LeMat-Bulk describes an optimized crystal structure of RhBr2Cl. The functional is PBE.

The space group is P1 (No. 1) and the conventional cell measures 3.720, 4.718 and 6.790 Å, with angles of 69.95, 74.16 and 90.00 degrees. The asymmetric unit holds Rh at (0.000, 0.000, 0.000), Br at (0.362, 0.865, 0.274), Br at (0.636, 0.139, 0.719) and Cl at (0.008, 0.535, 0.929).

The crystal system is triclinic. The formation energy from raw total energies is -0.339 eV per atom. The calculation puts the energy above the most stable polymorph in this dataset at 0.0000 eV/atom. For the total moment, the calculation gives 0.00 μB/f.u.


This record from Alexandria via LeMat-Bulk describes an optimized crystal structure of RhBrCl2. The functional is PBE.

The space group is R-3m (No. 166, hexagonal axes) and the conventional cell measures 3.5751, 3.5751 and 23.6643 Å, with angles of 90.00, 90.00 and 120.00 degrees. The asymmetric unit holds Rh at (0.0000, 0.0000, 0.0000), Br at (0.0000, 0.0000, 0.5000) and Cl at (0.0000, 0.0000, 0.2786).

The crystal system is trigonal. The formation energy from raw total energies is -0.077 eV per atom. The calculation puts the energy above the most stable polymorph in this dataset at 0.3326 eV/atom. For the total moment, the calculation gives 0.34 μB/f.u.


This record from Alexandria via LeMat-Bulk describes an optimized crystal structure of RhBr2Cl. The functional is PBE.

The space group is Fm-3m (No. 225) and the conventional cell measures 6.864, 6.864 and 6.864 Å, with angles of 90.00, 90.00 and 90.00 degrees. The asymmetric unit holds Rh at (0.000, 0.000, 0.000), Br at (0.250, 0.250, 0.250) and Cl at (0.000, 0.000, 0.500).

The crystal system is cubic. The formation energy from raw total energies is 0.643 eV per atom. The calculation puts the energy above the most stable polymorph in this dataset at 0.9817 eV/atom. For the total moment, the calculation gives 0.83 μB/f.u.


This record from Alexandria via LeMat-Bulk describes an optimized crystal structure of RhBrCl4. The functional is PBE.

The space group is F-43m (No. 216) and the conventional cell measures 8.139, 8.139 and 8.139 Å, with angles of 90.00, 90.00 and 90.00 degrees. The asymmetric unit holds Rh at (0.000, 0.000, 0.000), Br at (0.250, 0.250, 0.750) and Cl at (0.125, 0.125, 0.375).

The crystal system is cubic. The formation energy from raw total energies is 1.020 eV per atom. For the total moment, the calculation gives 2.24 μB/f.u.


This record from Alexandria via LeMat-Bulk describes an optimized crystal structure of RhBr2Cl. The functional is PBE.

The space group is Cmmm (No. 65) and the conventional cell measures 3.545, 7.700 and 8.698 Å, with angles of 90.00, 90.00 and 90.00 degrees. The asymmetric unit holds Rh at (0.000, 0.000, 0.000), Br at (0.000, 0.500, 0.195) and Cl at (0.000, 0.000, 0.500).

The crystal system is orthorhombic. The formation energy from raw total energies is 0.164 eV per atom. The calculation puts the energy above the most stable polymorph in this dataset at 0.5022 eV/atom. For the total moment, the calculation gives 2.03 μB/f.u.


This record from Alexandria via LeMat-Bulk describes an optimized crystal structure of Rh2BrCl. The functional is PBE.

The space group is Fm-3m (No. 225) and the conventional cell measures 6.409, 6.409 and 6.409 Å, with angles of 90.00, 90.00 and 90.00 degrees. The asymmetric unit holds Rh at (0.250, 0.250, 0.250), Br at (0.000, 0.000, 0.000) and Cl at (0.000, 0.000, 0.500).

The crystal system is cubic. The formation energy from raw total energies is 0.627 eV per atom. The calculation puts the energy above the most stable polymorph in this dataset at 0.6597 eV/atom. For the total moment, the calculation gives 0.00 μB/f.u.


This record from Alexandria via LeMat-Bulk describes an optimized crystal structure of RhBr2Cl8. The functional is PBE.

The space group is P-1 (No. 2) and the conventional cell measures 6.127, 6.358 and 8.899 Å, with angles of 73.50, 86.99 and 83.17 degrees. The asymmetric unit holds Rh at (0.000, 0.000, 0.000), Br at (0.099, 0.209, 0.374), Cl at (0.172, 0.821, 0.820), Cl at (0.182, 0.732, 0.201), Cl at (0.293, 0.206, 0.970) and Cl at (0.335, 0.259, 0.541).

The crystal system is triclinic. The formation energy from raw total energies is -0.127 eV per atom. For the total moment, the calculation gives 1.34 μB/f.u.


This record from Alexandria via LeMat-Bulk describes an optimized crystal structure of RhBr2Cl. The functional is PBE.

The space group is C2/m (No. 12) and the conventional cell measures 5.046, 9.408 and 5.280 Å, with angles of 90.00, 118.10 and 90.00 degrees. The asymmetric unit holds Rh at (0.000, 0.000, 0.000), Br at (0.250, 0.250, 0.500) and Cl at (0.000, 0.500, 0.000).

The crystal system is monoclinic. The formation energy from raw total energies is 0.505 eV per atom. The calculation puts the energy above the most stable polymorph in this dataset at 0.8437 eV/atom. For the total moment, the calculation gives 2.45 μB/f.u.


This record from Alexandria via LeMat-Bulk describes an optimized crystal structure of Rh2BrCl. The functional is PBE.

The space group is P4/mmm (No. 123) and the conventional cell measures 3.222, 3.222 and 6.465 Å, with angles of 90.00, 90.00 and 90.00 degrees. The asymmetric unit holds Rh at (0.000, 0.000, 0.230), Br at (0.500, 0.500, 0.000) and Cl at (0.500, 0.500, 0.500).

The crystal system is tetragonal. The formation energy from raw total energies is 0.622 eV per atom. The calculation puts the energy above the most stable polymorph in this dataset at 0.6547 eV/atom. For the total moment, the calculation gives 0.57 μB/f.u.


This record from Alexandria via LeMat-Bulk describes an optimized crystal structure of Rh2BrCl. The functional is PBE.

The space group is C2/m (No. 12) and the conventional cell measures 7.767, 3.241 and 5.584 Å, with angles of 90.00, 104.21 and 90.00 degrees. The asymmetric unit holds Rh at (0.249, 0.000, 0.250), Br at (0.000, 0.000, 0.500) and Cl at (0.000, 0.500, 0.000).

The crystal system is monoclinic. The formation energy from raw total energies is 0.459 eV per atom. The calculation puts the energy above the most stable polymorph in this dataset at 0.4919 eV/atom. For the total moment, the calculation gives 0.01 μB/f.u.


This record from Alexandria via LeMat-Bulk describes an optimized crystal structure of RhBrCl2. The functional is PBE.

The space group is F-43m (No. 216) and the conventional cell measures 6.758, 6.758 and 6.758 Å, with angles of 90.00, 90.00 and 90.00 degrees. The asymmetric unit holds Rh at (0.000, 0.000, 0.000), Br at (0.250, 0.250, 0.750), Cl at (0.000, 0.000, 0.500) and Cl at (0.250, 0.250, 0.250).

The crystal system is cubic. The formation energy from raw total energies is 0.641 eV per atom. The calculation puts the energy above the most stable polymorph in this dataset at 1.0508 eV/atom. For the total moment, the calculation gives 1.45 μB/f.u.


This record from Alexandria via LeMat-Bulk describes an optimized crystal structure of RhBr2Cl. The functional is PBE.

The space group is Cmmm (No. 65) and the conventional cell measures 4.825, 13.075 and 3.686 Å, with angles of 90.00, 90.00 and 90.00 degrees. The asymmetric unit holds Rh at (0.000, 0.000, 0.000), Br at (0.000, 0.130, 0.500) and Cl at (0.000, 0.500, 0.000).

The crystal system is orthorhombic. The formation energy from raw total energies is -0.321 eV per atom. The calculation puts the energy above the most stable polymorph in this dataset at 0.0179 eV/atom. For the total moment, the calculation gives 0.28 μB/f.u.


This record from Alexandria via LeMat-Bulk describes an optimized crystal structure of Rh2BrCl. The functional is PBE.

The space group is I-4m2 (No. 119) and the conventional cell measures 3.596, 3.596 and 11.114 Å, with angles of 90.00, 90.00 and 90.00 degrees. The asymmetric unit holds Rh at (0.000, 0.000, 0.000), Rh at (0.000, 0.500, 0.250), Br at (0.000, 0.500, 0.750) and Cl at (0.000, 0.000, 0.500).

The crystal system is tetragonal. The formation energy from raw total energies is 0.584 eV per atom. The calculation puts the energy above the most stable polymorph in this dataset at 0.6166 eV/atom. For the total moment, the calculation gives 0.00 μB/f.u.


This record from Alexandria via LeMat-Bulk describes an optimized crystal structure of Rh2BrCl. The functional is PBE.

The space group is I-42d (No. 122) and the conventional cell measures 6.654, 6.654 and 6.558 Å, with angles of 90.00, 90.00 and 90.00 degrees. The asymmetric unit holds Rh at (0.241, 0.250, 0.125), Br at (0.000, 0.000, 0.500) and Cl at (0.000, 0.000, 0.000).

The crystal system is tetragonal. The formation energy from raw total energies is 0.490 eV per atom. The calculation puts the energy above the most stable polymorph in this dataset at 0.5224 eV/atom. For the total moment, the calculation gives 0.00 μB/f.u.